1.
The following is a PBE calculation of Pm12Er2Tm after structural relaxation, from Alexandria.

```
data_Pm12Er2Tm
_cell_length_a 6.508
_cell_length_b 6.508
_cell_length_c 25.372
_cell_angle_alpha 90.00
_cell_angle_beta 90.00
_cell_angle_gamma 90.00
_symmetry_space_group_name_H-M 'P 4/n b m'
_symmetry_Int_Tables_number 125
loop_
_symmetry_equiv_pos_as_xyz
'x,y,z'
'-x,-y,-z'
'-y+1/2,x,z'
'y+1/2,-x,-z'
'-x+1/2,-y+1/2,z'
'x+1/2,y+1/2,-z'
'y,-x+1/2,z'
'-y,x+1/2,-z'
'x,-y+1/2,-z'
'-x,y+1/2,z'
'-y+1/2,-x+1/2,-z'
'y+1/2,x+1/2,z'
'-x+1/2,y,-z'
'x+1/2,-y,z'
'y,x,-z'
'-y,-x,z'
loop_
_atom_site_label
_atom_site_type_symbol
_atom_site_fract_x
_atom_site_fract_y
_atom_site_fract_z
_atom_site_occupancy
Pm1 Pm 0.066 0.566 0.113 1
Pm2 Pm 0.082 0.582 0.438 1
Pm3 Pm 0.250 0.250 0.215 1
Pm4 Pm 0.250 0.250 0.337 1
Er1 Er 0.250 0.750 0.272 1
Tm1 Tm 0.250 0.750 0.000 1
```

Results
volume: 35.82 A^3/atom

2.
The following is a PBE calculation of Pm5ErTm3 after structural relaxation, from Alexandria.

```
data_Pm5ErTm3
_cell_length_a 16.389
_cell_length_b 6.707
_cell_length_c 11.531
_cell_angle_alpha 90.00
_cell_angle_beta 110.40
_cell_angle_gamma 90.00
_symmetry_space_group_name_H-M 'C 1 2/c 1'
_symmetry_Int_Tables_number 15
loop_
_symmetry_equiv_pos_as_xyz
'x,y,z'
'-x,-y,-z'
'-x,y,-z+1/2'
'x,-y,z+1/2'
'x+1/2,y+1/2,z'
'-x+1/2,-y+1/2,-z'
'-x+1/2,y+1/2,-z+1/2'
'x+1/2,-y+1/2,z+1/2'
loop_
_atom_site_label
_atom_site_type_symbol
_atom_site_fract_x
_atom_site_fract_y
_atom_site_fract_z
_atom_site_occupancy
Pm1 Pm 0.000 0.190 0.250 1
Pm2 Pm 0.111 0.004 0.552 1
Pm3 Pm 0.170 0.417 0.342 1
Er1 Er 0.000 0.259 0.750 1
Tm1 Tm 0.000 0.500 0.000 1
Tm2 Tm 0.238 0.094 0.874 1
```

Results
polymorph energy (0 for the lowest one): 0 meV per atom
volume: 33.00 A^3/atom

3.
The following is a PBE calculation of PmEr4Tm15 after structural relaxation, from Alexandria.

```
data_PmEr4Tm15
_cell_length_a 4.946
_cell_length_b 4.946
_cell_length_c 24.739
_cell_angle_alpha 90.00
_cell_angle_beta 90.00
_cell_angle_gamma 90.00
_symmetry_space_group_name_H-M 'P 4/m m m'
_symmetry_Int_Tables_number 123
_symmetry_space_group_name_Hall '-P 4 2'
loop_
_atom_site_label
_atom_site_type_symbol
_atom_site_fract_x
_atom_site_fract_y
_atom_site_fract_z
_atom_site_occupancy
Pm1 Pm 0.000 0.000 0.000 1
Er1 Er 0.000 0.000 0.201 1
Er2 Er 0.000 0.000 0.400 1
Tm1 Tm 0.000 0.500 0.101 1
Tm2 Tm 0.000 0.500 0.301 1
Tm3 Tm 0.000 0.500 0.500 1
Tm4 Tm 0.500 0.500 0.000 1
Tm5 Tm 0.500 0.500 0.201 1
Tm6 Tm 0.500 0.500 0.400 1
```

Results
volume: 30.25 A^3/atom

4.
The following is a PBE calculation of Pm4Er7Tm after structural relaxation, from Alexandria.

```
data_Pm4Er7Tm
_cell_length_a 6.513
_cell_length_b 6.788
_cell_length_c 9.034
_cell_angle_alpha 84.98
_cell_angle_beta 77.09
_cell_angle_gamma 81.65
_symmetry_space_group_name_H-M 'P -1'
_symmetry_Int_Tables_number 2
loop_
_symmetry_equiv_pos_as_xyz
'x,y,z'
'-x,-y,-z'
loop_
_atom_site_label
_atom_site_type_symbol
_atom_site_fract_x
_atom_site_fract_y
_atom_site_fract_z
_atom_site_occupancy
Pm1 Pm 0.140 0.310 0.284 1
Pm2 Pm 0.337 0.883 0.694 1
Er1 Er 0.011 0.253 0.950 1
Er2 Er 0.182 0.801 0.358 1
Er3 Er 0.312 0.394 0.617 1
Er4 Er 0.500 0.000 0.000 1
Tm1 Tm 0.500 0.500 0.000 1
```

Results
polymorph energy (0 for the lowest one): 0 meV per atom
volume: 32.04 A^3/atom

5.
The following is a PBE calculation of PmErTm6 after structural relaxation, from Alexandria.

```
data_PmErTm6
_cell_length_a 7.381
_cell_length_b 11.584
_cell_length_c 5.782
_cell_angle_alpha 90.00
_cell_angle_beta 90.00
_cell_angle_gamma 90.00
_symmetry_space_group_name_H-M 'C m m m'
_symmetry_Int_Tables_number 65
_symmetry_space_group_name_Hall '-C 2 2'
loop_
_atom_site_label
_atom_site_type_symbol
_atom_site_fract_x
_atom_site_fract_y
_atom_site_fract_z
_atom_site_occupancy
Pm1 Pm 0.000 0.000 0.000 1
Er1 Er 0.000 0.500 0.000 1
Tm1 Tm 0.000 0.245 0.500 1
Tm2 Tm 0.241 0.500 0.500 1
Tm3 Tm 0.250 0.250 0.000 1
```

Results
polymorph energy (0 for the lowest one): 0 meV per atom
volume: 30.90 A^3/atom

6.
The following is a PBE calculation of Pm2ErTm5 after structural relaxation, from Alexandria.

```
data_Pm2ErTm5
_cell_length_a 16.055
_cell_length_b 9.770
_cell_length_c 6.500
_cell_angle_alpha 90.00
_cell_angle_beta 99.56
_cell_angle_gamma 90.00
_symmetry_space_group_name_H-M 'C 1 2/c 1'
_symmetry_Int_Tables_number 15
loop_
_symmetry_equiv_pos_as_xyz
'x,y,z'
'-x,-y,-z'
'-x,y,-z+1/2'
'x,-y,z+1/2'
'x+1/2,y+1/2,z'
'-x+1/2,-y+1/2,-z'
'-x+1/2,y+1/2,-z+1/2'
'x+1/2,-y+1/2,z+1/2'
loop_
_atom_site_label
_atom_site_type_symbol
_atom_site_fract_x
_atom_site_fract_y
_atom_site_fract_z
_atom_site_occupancy
Pm1 Pm 0.080 0.244 0.121 1
Er1 Er 0.250 0.250 0.000 1
Tm1 Tm 0.000 0.442 0.750 1
Tm2 Tm 0.101 0.091 0.648 1
Tm3 Tm 0.199 0.413 0.527 1
```

Results
polymorph energy (0 for the lowest one): 144 meV per atom
volume: 31.42 A^3/atom

Number 1: energy relative to the elements 0.328 eV per atom. Number 2: energy relative to the elements 0.180 eV per atom. Number 3: energy relative to the elements 0.027 eV per atom. Number 4: energy relative to the elements 0.090 eV per atom. Number 5: energy relative to the elements 0.129 eV per atom. Number 6: energy relative to the elements 0.169 eV per atom.